P) Compound: LiCu2Ag
Source: Alexandria
Functional: PBE-GGA
Structure: optimized geometry

Structure (CIF):
```
data_LiCu2Ag
_chemical_formula_sum 'Li1 Cu2 Ag1'
_cell_length_a 2.996
_cell_length_b 4.184
_cell_length_c 4.377
_cell_angle_alpha 90.00
_cell_angle_beta 90.00
_cell_angle_gamma 90.00
_space_group_name_H-M_alt 'P m m m'
_space_group_IT_number 47
_space_group_name_Hall '-P 2 2'
loop_
_atom_site_label
_atom_site_type_symbol
_atom_site_fract_x
_atom_site_fract_y
_atom_site_fract_z
Li1 Li 0.000 0.000 0.000
Cu1 Cu 0.000 0.500 0.500
Cu2 Cu 0.500 0.000 0.500
Ag1 Ag 0.500 0.500 0.000
```

Q) Compound: LiCu2Ag
Source: Alexandria
Functional: PBE-GGA
Structure: optimized geometry

Structure (CIF):
```
data_LiCu2Ag
_chemical_formula_sum 'Li4 Cu8 Ag4'
_cell_length_a 6.885
_cell_length_b 6.885
_cell_length_c 5.018
_cell_angle_alpha 90.00
_cell_angle_beta 90.00
_cell_angle_gamma 90.00
_space_group_name_H-M_alt 'I -4 2 d'
_space_group_IT_number 122
_space_group_name_Hall 'I -4 2bw'
loop_
_atom_site_label
_atom_site_type_symbol
_atom_site_fract_x
_atom_site_fract_y
_atom_site_fract_z
Li1 Li 0.000 0.000 0.000
Cu1 Cu 0.237 0.250 0.125
Ag1 Ag 0.000 0.000 0.500
```

The calculated energies rank the structures as follows, beginning with the most stable: P), Q).

P) Compound: LiCu2Ag
Source: Alexandria
Functional: PBE-GGA
Structure: optimized geometry

Structure (CIF):
```
data_LiCu2Ag
_chemical_formula_sum 'Li1 Cu2 Ag1'
_cell_length_a 2.680
_cell_length_b 4.364
_cell_length_c 4.802
_cell_angle_alpha 90.00
_cell_angle_beta 98.91
_cell_angle_gamma 90.00
_space_group_name_H-M_alt 'P 1 2/m 1'
_space_group_IT_number 10
_space_group_name_Hall '-P 2y'
loop_
_atom_site_label
_atom_site_type_symbol
_atom_site_fract_x
_atom_site_fract_y
_atom_site_fract_z
Li1 Li 0.000 0.000 0.000
Cu1 Cu 0.202 0.500 0.764
Ag1 Ag 0.500 0.000 0.500
```

Q) Compound: LiCu2Ag
Source: Alexandria
Functional: PBE-GGA
Structure: optimized geometry

Structure (CIF):
```
data_LiCu2Ag
_chemical_formula_sum 'Li2 Cu4 Ag2'
_cell_length_a 3.855
_cell_length_b 3.855
_cell_length_c 7.425
_cell_angle_alpha 90.00
_cell_angle_beta 90.00
_cell_angle_gamma 90.00
_space_group_name_H-M_alt 'I -4 m 2'
_space_group_IT_number 119
_space_group_name_Hall 'I -4 -2'
loop_
_atom_site_label
_atom_site_type_symbol
_atom_site_fract_x
_atom_site_fract_y
_atom_site_fract_z
Li1 Li 0.000 0.000 0.000
Cu1 Cu 0.000 0.000 0.500
Cu2 Cu 0.000 0.500 0.250
Ag1 Ag 0.000 0.500 0.750
```

The calculated energies rank the structures as follows, beginning with the most stable: Q), P).